The following is a DFT calculation (PBE) of a geometry-optimized Gd2ErZn3InGa2 structure.

Calculated values
E = -3.4503 eV/atom
Magnetization = 0.0000 μB per atom
SG = Amm2, No. 38

Cell: 4.3978 7.0555 7.0555 Å, 119.75 90.00 90.00°
Closest atoms and distances in Å follow each position.
Atoms (fractional coordinates):
Er  0.0000  0.5581  0.5581  4 Ga 3.01, 2 Zn 3.08, 1 In 3.11
Ga  0.5000  0.6654  0.3356  3 Zn 2.66-2.70
Ga  0.5000  0.3356  0.6654  3 Zn 2.66-2.70
Gd  0.0000  0.4423  0.0010  4 Ga 3.03-3.04, 2 Zn 3.08, 1 In 3.13
Gd  0.0000  0.0010  0.4423  4 Ga 3.03-3.04, 2 Zn 3.08, 1 In 3.13
In  0.0000  0.9970  0.9970  6 Zn 2.83-2.86, 1 Er 3.11, 2 Gd 3.13
Zn  0.5000  0.2544  0.2544  2 Ga 2.66, 2 In 2.86
Zn  0.5000  0.9998  0.7464  2 Ga 2.68-2.70, 2 In 2.83
Zn  0.5000  0.7464  0.9998  2 Ga 2.68-2.70, 2 In 2.83

The following is a DFT calculation (PBE) of a geometry-optimized GdErGa2Ir4 structure.

Calculated values
E = -6.8859 eV/atom
Magnetization = 0.0012 μB per atom
SG = P4/mmm, No. 123

Cell: 4.5833 4.5833 6.5000 Å, 90.00 90.00 90.00°
Closest atoms and distances in Å follow each position.
Atoms (fractional coordinates):
Er  0.0000  0.0000  0.5000  8 Ir 2.79
Ga  0.0000  0.0000  0.0000  8 Ir 2.82
Ga  0.5000  0.5000  0.5000  8 Ir 2.79
Gd  0.5000  0.5000  0.0000  8 Ir 2.82
Ir  0.5000  0.0000  0.2541  4 Ga 2.79-2.82, 2 Er 2.79, 2 Gd 2.82
Ir  0.0000  0.5000  0.2541  2 Er 2.79, 4 Ga 2.79-2.82, 2 Gd 2.82
Ir  0.5000  0.0000  0.7459  2 Er 2.79, 4 Ga 2.79-2.82, 2 Gd 2.82
Ir  0.0000  0.5000  0.7459  2 Er 2.79, 4 Ga 2.79-2.82, 2 Gd 2.82

The following is a DFT calculation (PBE) of a geometry-optimized GdErGa2Ir4 structure.

Calculated values
E = -6.9085 eV/atom
Magnetization = 0.0066 μB per atom
SG = P-6m2, No. 187

Cell: 4.3300 4.3300 9.0603 Å, 90.00 90.00 120.00°
Closest atoms and distances in Å follow each position.
Atoms (fractional coordinates):
Er  0.0000  0.0000  0.0000  8 Ir 2.89-2.94
Ga  0.3333  0.6667  0.2460  6 Ir 2.60-2.62
Ga  0.3333  0.6667  0.7540  6 Ir 2.60-2.62
Gd  0.6667  0.3333  0.5000  8 Ir 2.96-3.07
Ir  0.6667  0.3333  0.1607  3 Ga 2.62, 3 Er 2.89, 4 Ir 2.91
Ir  0.0000  0.0000  0.3246  3 Ga 2.60, 3 Ir 2.91
Ir  0.0000  0.0000  0.6754  3 Ga 2.60, 3 Ir 2.91
Ir  0.6667  0.3333  0.8393  3 Ga 2.62, 3 Er 2.89, 4 Ir 2.91